# 1
The following is a GGA-PBE calculation of an optimized crystal structure of Nd14Cl32O, from OQMD via LeMat-Bulk.

Unit cell a=12.7476 b=12.7476 c=12.7476 alpha=54.16 beta=54.16 gamma=54.16
Atoms (fractional coordinates):
Nd1 0.0288 0.7542 0.0547
Nd2 0.7988 0.3272 0.5616
Nd3 0.2012 0.6728 0.4384
Nd4 0.9712 0.2458 0.9453
Nd5 0.2458 0.9453 0.9712
Nd6 0.5616 0.7988 0.3272
Nd7 0.6728 0.4384 0.2012
Nd8 0.7542 0.0547 0.0288
Nd9 0.0547 0.0288 0.7542
Nd10 0.2544 0.2544 0.2544
Nd11 0.7456 0.7456 0.7456
Nd12 0.9453 0.9712 0.2458
Nd13 0.4384 0.2012 0.6728
Nd14 0.3272 0.5616 0.7988
Cl1 0.5155 0.3091 0.7635
Cl2 0.7020 0.2118 0.1671
Cl3 0.4845 0.6909 0.2365
Cl4 0.7882 0.8329 0.2980
Cl5 0.8329 0.2980 0.7882
Cl6 0.2307 0.1926 0.9319
Cl7 0.1671 0.7020 0.2118
Cl8 0.9395 0.8767 0.5440
Cl9 0.8767 0.5440 0.9395
Cl10 0.4061 0.0284 0.4233
Cl11 0.8074 0.0681 0.7693
Cl12 0.4560 0.0605 0.1233
Cl13 0.1926 0.9319 0.2307
Cl14 0.3091 0.7635 0.5155
Cl15 0.4233 0.4061 0.0284
Cl16 0.6909 0.2365 0.4845
Cl17 0.9716 0.5767 0.5939
Cl18 0.5985 0.5985 0.5985
Cl19 0.5767 0.5939 0.9716
Cl20 0.4015 0.4015 0.4015
Cl21 0.9319 0.2307 0.1926
Cl22 0.1233 0.4560 0.0605
Cl23 0.0605 0.1233 0.4560
Cl24 0.2118 0.1671 0.7020
Cl25 0.2365 0.4845 0.6909
Cl26 0.7693 0.8074 0.0681
Cl27 0.7635 0.5155 0.3091
Cl28 0.5440 0.9395 0.8767
Cl29 0.5939 0.9716 0.5767
Cl30 0.0681 0.7693 0.8074
Cl31 0.0284 0.4233 0.4061
Cl32 0.2980 0.7882 0.8329
O1 0.0000 0.0000 0.0000

As for the space-group type: R-3 (148). Its total energy is -0.1785 Ha/atom.

***

# 2
The following is a GGA-PBE calculation of an optimized crystal structure of Sr3Cu8Sn4, from OQMD via LeMat-Bulk.

Unit cell a=9.3350 b=9.3351 c=7.8667 alpha=90.00 beta=90.00 gamma=120.00
Atoms (fractional coordinates):
Sn1 0.8339 0.1661 0.2964
Sn2 0.3321 0.1661 0.2964
Sn3 0.3333 0.6667 0.1805
Sn4 0.6667 0.3333 0.6805
Sn5 0.1661 0.3321 0.7964
Sn6 0.8339 0.6679 0.2964
Sn7 0.1661 0.8339 0.7964
Sn8 0.6679 0.8339 0.7964
Cu1 0.0988 0.1976 0.4786
Cu2 0.6667 0.3333 0.3315
Cu3 0.3223 0.1612 0.6738
Cu4 0.1612 0.8388 0.1738
Cu5 0.1976 0.0988 0.9786
Cu6 0.8024 0.9012 0.4786
Cu7 0.0000 0.0000 0.2253
Cu8 0.9012 0.8024 0.9786
Cu9 0.6777 0.8388 0.1738
Cu10 0.0000 0.0000 0.7253
Cu11 0.0988 0.9012 0.4786
Cu12 0.1612 0.3223 0.1738
Cu13 0.8388 0.6777 0.6738
Cu14 0.8388 0.1612 0.6738
Cu15 0.3333 0.6667 0.8315
Cu16 0.9012 0.0988 0.9786
Sr1 0.5255 0.0509 0.9997
Sr2 0.4745 0.9491 0.4997
Sr3 0.0509 0.5255 0.4997
Sr4 0.5255 0.4745 0.9997
Sr5 0.4745 0.5255 0.4997
Sr6 0.9491 0.4745 0.9997

As for the space-group type: P6_3mc (186). Its total energy is -0.1344 Ha/atom.

***

# 3
The following is a GGA-PBE calculation of an optimized crystal structure of Nd2GdAl3AgPt2, from OQMD via LeMat-Bulk.

Unit cell a=4.1961 b=7.2700 c=7.2700 alpha=119.97 beta=90.00 gamma=90.00
Atoms (fractional coordinates):
Ag1 0.0000 0.0040 0.0040
Nd1 0.0000 0.9987 0.5797
Nd2 0.0000 0.5797 0.9987
Gd1 0.0000 0.4196 0.4196
Al1 0.5000 0.0031 0.2473
Al2 0.5000 0.7520 0.7520
Al3 0.5000 0.2473 0.0031
Pt1 0.5000 0.3351 0.6603
Pt2 0.5000 0.6603 0.3351

As for the space-group type: Amm2 (38). Its total energy is -0.1947 Ha/atom.